Here is an optimized crystal structure of Ga2Cu9Ge from Alexandria via LeMat-Bulk. Energies are from PBE.

POSCAR file:
```
Ga2Cu9Ge
1.0
3.7290 0.0000 0.0000
0.0000 3.7290 0.0000
0.0000 0.0000 10.9719
Cu Ge Ga
9 1 2
direct
0.0000 0.5000 0.5000
0.0000 0.5000 0.8331
0.5000 0.5000 0.0000
0.5000 0.0000 0.8331
0.5000 0.0000 0.5000
0.5000 0.0000 0.1669
0.5000 0.5000 0.3335
0.5000 0.5000 0.6665
0.0000 0.5000 0.1669
0.0000 0.0000 0.0000
0.0000 0.0000 0.6658
0.0000 0.0000 0.3342
```

Output
DFT total energy	-4.0177	eV/atom
energy of formation	-1.30	kcal/mol of atoms
total magnetization	0.0	μB per cell